Compound: Y2MoRu
Source: the Alexandria database
Functional: PBE
Structure: optimized geometry

Its energy above the most stable polymorph in this dataset is 0.11 eV/f.u. As for the density of states at the Fermi level: 4.2 states/eV/f.u. Its total magnetic moment is 0.36 μB/f.u. For the formation enthalpy at 0 K, the calculation gives 0.057 eV per atom.

The space group is Imm2 (No. 44) and the conventional cell measures 3.3866, 4.9370 and 10.2310 Å, with angles of 90.00, 90.00 and 90.00 degrees. The inequivalent atoms are Y at (0.0000, 0.0000, 0.0000), Y at (0.0000, 0.5000, 0.2196), Mo at (0.0000, 0.0000, 0.4453) and Ru at (0.0000, 0.5000, 0.7558).